Entry 1:
4
Lattice="4.6864 -1.4456 0.0000 4.6864 1.4456 0.0000 -1.0887 0.0000 4.6873" Properties=species:S:1:pos:R:3 comment="PBEsol ZnAg3, optimized geometry" total_magnetization_mub_per_cell=0.00 delta_e_f_ev_per_atom=-0.034 sg="C2/m, No. 12" pbc="T T T"
Zn 0.0000 0.0000 0.0000
Ag 1.5940 0.0000 3.5467
Ag 4.1421 0.0000 2.3436
Ag 6.6902 0.0000 1.1405



Entry 2:
4
Lattice="2.9462 -4.1229 0.0000 2.9462 4.1229 0.0000 0.0000 0.0000 3.0188" Properties=species:S:1:pos:R:3 comment="PBEsol Zr2ZnAg, optimized geometry" total_magnetization_mub_per_cell=0.00 delta_e_f_ev_per_atom=-0.142 sg="Cmmm, No. 65" pbc="T T T"
Zr 1.4731 2.0614 0.0000
Zr 1.4731 -2.0614 0.0000
Zn 0.0000 0.0000 1.5094
Ag 2.9462 0.0000 1.5094



Entry 3:
4
Lattice="-2.0997 2.0997 4.1490 2.0997 -2.0997 4.1490 2.0997 2.0997 -4.1490" Properties=species:S:1:pos:R:3 comment="PBEsol Zr2ZnAg, optimized geometry" total_magnetization_mub_per_cell=0.00 delta_e_f_ev_per_atom=-0.147 sg="I4/mmm, No. 139" pbc="T T T"
Zr 2.0997 0.0000 2.0745
Zr 0.0000 2.0997 2.0745
Zn 0.0000 0.0000 0.0000
Ag 0.0000 0.0000 4.1490



Entry 4:
4
Lattice="2.9206 0.0000 0.0000 0.0000 2.9206 0.0000 0.0000 0.0000 7.9320" Properties=species:S:1:pos:R:3 comment="PBEsol ZrZnAg2, optimized geometry" total_magnetization_mub_per_cell=0.00 delta_e_f_ev_per_atom=-0.081 sg="P4/mmm, No. 123" pbc="T T T"
Zr 0.0000 0.0000 0.0000
Zn 0.0000 0.0000 3.9660
Ag 1.4603 1.4603 2.1988
Ag 1.4603 1.4603 5.7332



Entry 5:
4
Lattice="0.0000 3.2349 3.2349 3.2349 0.0000 3.2349 3.2349 3.2349 0.0000" Properties=species:S:1:pos:R:3 comment="PBEsol ZrZnAg2, optimized geometry" total_magnetization_mub_per_cell=0.00 delta_e_f_ev_per_atom=-0.135 sg="F-43m, No. 216" pbc="T T T"
Zr 0.0000 0.0000 0.0000
Zn 4.8524 4.8524 4.8524
Ag 1.6175 1.6175 1.6175
Ag 3.2349 3.2349 3.2349



Entry 6:
4
Lattice="2.9528 0.0000 0.0000 0.0000 4.0891 0.0000 0.0000 0.0000 6.0661" Properties=species:S:1:pos:R:3 comment="PBEsol Zr2ZnAg, optimized geometry" total_magnetization_mub_per_cell=0.00 delta_e_f_ev_per_atom=-0.149 sg="Pmmm, No. 47" pbc="T T T"
Zr 0.0000 0.0000 1.4717
Zr 0.0000 0.0000 4.5944
Zn 1.4764 2.0446 0.0000
Ag 1.4764 2.0446 3.0331